# 1
! Na3W2O7 PBE+U optimized geometry; values from VASP
! **V**: 163 Å³/cell
! **Crystal system**: orthorhombic
! **Space group**: Cmmm
! **Calculated total energy**: -76.1 eV/cell
&SYSTEM
  ibrav = 0, nat = 12, ntyp = 3
/
ATOMIC_SPECIES
O 16.00 O.upf
W 183.84 W.upf
Na 22.99 Na.upf
ATOMIC_POSITIONS crystal
O 0.500 0.908 0.816
O 0.500 0.092 0.184
O 0.000 0.815 0.630
O 0.000 0.185 0.370
O 0.000 0.592 0.184
O 0.000 0.000 0.000
O 0.000 0.408 0.816
W 0.000 0.096 0.193
W 0.000 0.904 0.807
Na 0.500 0.681 0.362
Na 0.500 0.500 0.000
Na 0.500 0.319 0.638
CELL_PARAMETERS angstrom
-3.280 0.819 1.994
1.452 -1.882 3.162
3.554 9.894 1.782

---

# 2
! Na3W4O12 PBE+U optimized geometry; values from VASP
! **V**: 239 Å³/cell
! **Crystal system**: orthorhombic
! **Space group**: Immm
! **Polymorph energy (0 for the lowest one)**: 0.023 eV per atom
&SYSTEM
  ibrav = 0, nat = 19, ntyp = 3
/
ATOMIC_SPECIES
W 183.84 W.upf
O 16.00 O.upf
Na 22.99 Na.upf
ATOMIC_POSITIONS crystal
W 0.000 0.500 0.000
W 0.000 0.000 0.500
W 0.500 0.000 0.000
W 0.500 0.500 0.500
O 0.727 0.778 0.505
O 0.503 0.278 0.225
O 0.273 0.778 0.051
O 0.231 0.951 0.721
O 0.053 0.278 0.775
O 0.231 0.510 0.279
O 0.273 0.222 0.494
O 0.769 0.490 0.721
O 0.497 0.722 0.775
O 0.947 0.722 0.225
O 0.727 0.222 0.949
O 0.769 0.049 0.279
Na 0.500 0.000 0.500
Na 0.500 0.500 0.000
Na 0.000 0.500 0.500
CELL_PARAMETERS angstrom
-5.396 2.803 2.987
-2.042 -4.151 -4.949
3.520 -3.506 4.606

---

# 3
! NaW10O30 PBE+U optimized geometry; values from VASP
! **V**: 578 Å³/cell
! **Crystal system**: monoclinic
! **Space group**: C2/m
! **Calculated total energy**: -304.3 eV/cell
&SYSTEM
  ibrav = 0, nat = 41, ntyp = 3
/
ATOMIC_SPECIES
O 16.00 O.upf
W 183.84 W.upf
Na 22.99 Na.upf
ATOMIC_POSITIONS crystal
O 0.300 0.200 0.000
O 0.604 0.497 0.800
O 0.208 0.090 0.401
O 0.039 0.961 0.000
O 0.757 0.157 0.692
O 0.843 0.243 0.308
O 0.237 0.163 0.200
O 0.158 0.558 0.096
O 0.800 0.700 0.000
O 0.244 0.644 0.705
O 0.763 0.637 0.200
O 0.631 0.567 0.598
O 0.642 0.042 0.104
O 0.392 0.310 0.599
O 0.097 0.004 0.799
O 0.363 0.237 0.800
O 0.561 0.439 0.000
O 0.040 0.440 0.504
O 0.910 0.792 0.599
O 0.958 0.358 0.896
O 0.970 0.833 0.402
O 0.837 0.763 0.800
O 0.503 0.396 0.200
O 0.433 0.369 0.402
O 0.996 0.903 0.201
O 0.356 0.756 0.295
O 0.560 0.960 0.496
O 0.442 0.842 0.904
O 0.167 0.030 0.598
O 0.690 0.608 0.401
W 0.200 0.100 0.901
W 0.700 0.600 0.901
W 0.300 0.200 0.500
W 0.998 0.901 0.702
W 0.601 0.500 0.297
W 0.400 0.300 0.099
W 0.900 0.800 0.099
W 0.099 0.002 0.298
W 0.800 0.700 0.500
W 0.500 0.399 0.703
Na 0.300 0.700 0.500
CELL_PARAMETERS angstrom
-3.711 5.514 0.824
-2.266 0.260 6.297
9.663 8.407 5.521

---

# 4
! NaW2O6 PBE+U optimized geometry; values from VASP
! **V**: 127 Å³/cell
! **Crystal system**: trigonal
! **Space group**: P-31m
! **Polymorph energy (0 for the lowest one)**: 0.080 eV per atom
&SYSTEM
  ibrav = 0, nat = 9, ntyp = 3
/
ATOMIC_SPECIES
O 16.00 O.upf
W 183.84 W.upf
Na 22.99 Na.upf
ATOMIC_POSITIONS crystal
O 0.295 0.625 0.000
O 0.705 0.000 0.375
O 0.705 0.375 0.000
O 0.295 0.375 0.375
O 0.295 0.000 0.625
O 0.705 0.625 0.625
W 0.500 0.333 0.667
W 0.500 0.667 0.333
Na 0.000 0.000 0.000
CELL_PARAMETERS angstrom
5.130 0.000 0.000
0.000 4.633 -2.675
0.000 0.000 5.350

---

# 5
! NaW2O6 PBE+U optimized geometry; values from VASP
! **V**: 236 Å³/cell
! **Crystal system**: tetragonal
! **Space group**: I4/mmm
! **Polymorph energy (0 for the lowest one)**: 0.000 eV per atom
&SYSTEM
  ibrav = 0, nat = 18, ntyp = 3
/
ATOMIC_SPECIES
O 16.00 O.upf
W 183.84 W.upf
Na 22.99 Na.upf
ATOMIC_POSITIONS crystal
O 0.975 0.730 0.246
O 0.270 0.516 0.246
O 0.730 0.484 0.754
O 0.025 0.270 0.754
O 0.730 0.975 0.246
O 0.484 0.730 0.754
O 0.230 0.230 0.459
O 0.770 0.230 0.000
O 0.516 0.270 0.246
O 0.230 0.770 0.000
O 0.770 0.770 0.541
O 0.270 0.025 0.754
W 0.500 0.000 0.000
W 0.000 0.000 0.500
W 0.500 0.500 0.500
W 0.000 0.500 0.000
Na 0.000 0.000 0.000
Na 0.500 0.500 0.000
CELL_PARAMETERS angstrom
-3.686 2.235 5.185
-3.912 -0.623 -5.457
2.646 -6.004 1.556

---

# 6
! Na2W3O10 PBE+U optimized geometry; values from VASP
! **V**: 470 Å³/cell
! **Crystal system**: monoclinic
! **Space group**: C2/c
! **Polymorph energy (0 for the lowest one)**: 0.000 eV per atom
&SYSTEM
  ibrav = 0, nat = 30, ntyp = 3
/
ATOMIC_SPECIES
W 183.84 W.upf
Na 22.99 Na.upf
O 16.00 O.upf
ATOMIC_POSITIONS crystal
W 0.308 0.692 0.750
W 0.805 0.984 0.988
W 0.195 0.016 0.012
W 0.984 0.805 0.488
W 0.692 0.308 0.250
W 0.016 0.195 0.512
Na 0.735 0.607 0.829
Na 0.265 0.393 0.171
Na 0.607 0.735 0.329
Na 0.393 0.265 0.671
O 0.221 0.219 0.953
O 0.074 0.703 0.294
O 0.132 0.926 0.582
O 0.781 0.779 0.547
O 0.926 0.297 0.706
O 0.504 0.627 0.601
O 0.856 0.380 0.351
O 0.496 0.373 0.399
O 0.926 0.132 0.082
O 0.297 0.926 0.206
O 0.380 0.856 0.851
O 0.627 0.504 0.101
O 0.373 0.496 0.899
O 0.868 0.074 0.418
O 0.703 0.074 0.794
O 0.620 0.144 0.149
O 0.219 0.221 0.453
O 0.779 0.781 0.047
O 0.074 0.868 0.918
O 0.144 0.620 0.649
CELL_PARAMETERS angstrom
8.205 -0.127 -0.157
4.018 7.154 -0.157
1.278 0.735 7.904